Record 1
First-principles (PBE) data for a relaxed structure of La4CoPt, as listed in Alexandria via LeMat-Bulk.

The relative energy among the computed polymorphs comes out at 1.092 eV/atom. The calculation puts the size of the total moment at 1.20 μB/f.u. The density of states at the Fermi level comes out at 45.82 states/eV/cell. Its volume is 27.7 Å³ per atom. The value obtained for the energy of formation is 375 kJ/mol of formula units. The energy is -115.88 eV per cell.

It has space group F-43m (No. 216), with a = 8.730 Å, b = 8.730 Å, c = 8.730 Å, α = 90.00°, β = 90.00° and γ = 90.00°. The distinct sites, in fractional coordinates, are La at (0.125, 0.125, 0.125), Co at (0.000, 0.000, 0.500) and Pt at (0.250, 0.250, 0.750).

---

Record 2
First-principles (PBE) data for a relaxed structure of Sc2FeCo2, as listed in Alexandria via LeMat-Bulk.

The calculation puts the size of the total moment at 2.83 μB/f.u. The density of states at the Fermi level comes out at 9.93 states/eV/cell. Its volume is 15.3 Å³ per atom. The value obtained for the energy of formation is -91 kJ/mol of formula units. The energy is -72.57 eV per cell.

It has space group P4/mbm (No. 127), with a = 6.182 Å, b = 6.182 Å, c = 4.000 Å, α = 90.00°, β = 90.00° and γ = 90.00°. The distinct sites, in fractional coordinates, are Sc at (0.180, 0.320, 0.000), Fe at (0.000, 0.000, 0.500) and Co at (0.132, 0.632, 0.500).

---

Record 3
First-principles (PBE) data for a relaxed structure of Be2CoRe, as listed in Alexandria via LeMat-Bulk.

The relative energy among the computed polymorphs comes out at 0.135 eV/atom. The calculation puts the size of the total moment at 0.47 μB/f.u. The density of states at the Fermi level comes out at 4.08 states/eV/cell. Its volume is 10.3 Å³ per atom. The value obtained for the energy of formation is -11 kJ/mol of formula units. The energy is -27.12 eV per cell.

It has space group P4/mmm (No. 123), with a = 3.956 Å, b = 3.956 Å, c = 2.636 Å, α = 90.00°, β = 90.00° and γ = 90.00°. The distinct sites, in fractional coordinates, are Be at (0.000, 0.500, 0.000), Co at (0.000, 0.000, 0.500) and Re at (0.500, 0.500, 0.500).

---

Record 4
First-principles (PBE) data for a relaxed structure of Hf2CuOs, as listed in Alexandria via LeMat-Bulk.

The relative energy among the computed polymorphs comes out at 0.001 eV/atom. The calculation puts the size of the total moment at 0.00 μB/f.u. The density of states at the Fermi level comes out at 2.21 states/eV/cell. Its volume is 17.2 Å³ per atom. The value obtained for the energy of formation is -165 kJ/mol of formula units. The energy is -36.94 eV per cell.

It has space group P4/mmm (No. 123), with a = 4.625 Å, b = 4.625 Å, c = 3.215 Å, α = 90.00°, β = 90.00° and γ = 90.00°. The distinct sites, in fractional coordinates, are Hf at (0.000, 0.500, 0.000), Cu at (0.000, 0.000, 0.500) and Os at (0.500, 0.500, 0.500).

---

Record 5
First-principles (PBE) data for a relaxed structure of KLiTb2S4, as listed in Alexandria via LeMat-Bulk.

The calculation puts the size of the total moment at 0.00 μB/f.u. The density of states at the Fermi level comes out at 0.00 states/eV/cell. Its volume is 23.8 Å³ per atom. The energy is -174.51 eV per cell.

It has space group Cmcm (No. 63), with a = 4.043 Å, b = 13.490 Å, c = 13.984 Å, α = 90.00°, β = 90.00° and γ = 90.00°. The distinct sites, in fractional coordinates, are K at (0.000, 0.107, 0.250), Li at (0.000, 0.166, 0.750), Tb at (0.000, 0.366, 0.061), S at (0.000, 0.000, 0.000), S at (0.000, 0.262, 0.608) and S at (0.000, 0.425, 0.250).

---

Record 6
First-principles (PBE) data for a relaxed structure of Y2GeBr, as listed in Alexandria via LeMat-Bulk.

The relative energy among the computed polymorphs comes out at 0.041 eV/atom. The calculation puts the size of the total moment at 0.00 μB/f.u. The density of states at the Fermi level comes out at 7.44 states/eV/cell. Its volume is 27.3 Å³ per atom. The energy is -70.32 eV per cell.

It has space group R3m (No. 160, hexagonal axes), with a = 4.1376 Å, b = 4.1376 Å, c = 22.1137 Å, α = 90.00°, β = 90.00° and γ = 120.00°. The distinct sites, in fractional coordinates, are Y at (0.0000, 0.0000, 0.0000), Y at (0.0000, 0.0000, 0.1984), Ge at (0.0000, 0.0000, 0.6006) and Br at (0.0000, 0.0000, 0.4296).

---

Record 7
First-principles (PBE) data for a relaxed structure of SrLiLa, as listed in Alexandria via LeMat-Bulk.

The relative energy among the computed polymorphs comes out at 0.357 eV/atom. The calculation puts the size of the total moment at 0.00 μB/f.u. The density of states at the Fermi level comes out at 23.63 states/eV/cell. Its volume is 40.5 Å³ per atom. The value obtained for the energy of formation is 121 kJ/mol of formula units. The energy is -29.08 eV per cell.

It has space group F-43m (No. 216), with a = 7.859 Å, b = 7.859 Å, c = 7.859 Å, α = 90.00°, β = 90.00° and γ = 90.00°. The distinct sites, in fractional coordinates, are Sr at (0.000, 0.000, 0.000), Li at (0.250, 0.250, 0.250) and La at (0.000, 0.000, 0.500).

---

Record 8
First-principles (PBE) data for a relaxed structure of Pm2NiAg2, as listed in Alexandria via LeMat-Bulk.

The calculation puts the size of the total moment at 0.00 μB/f.u. The density of states at the Fermi level comes out at 6.96 states/eV/cell. Its volume is 23.0 Å³ per atom. The value obtained for the energy of formation is -132 kJ/mol of formula units. The energy is -44.72 eV per cell.

It has space group P-1 (No. 2), with a = 3.939 Å, b = 5.664 Å, c = 11.243 Å, α = 92.79°, β = 100.01° and γ = 110.31°. The distinct sites, in fractional coordinates, are Pm at (0.064, 0.253, 0.373), Pm at (0.335, 0.334, 0.837), Ni at (0.387, 0.083, 0.192), Ag at (0.119, 0.786, 0.952) and Ag at (0.356, 0.820, 0.390).

---

> Which formula does entry 5 have?

KLiTb2S4

---

> volume of number 8 (Pm2NiAg2)?

23.0 Å³ per atom

---

> The lowest energy belongs to which entry?

KLiTb2S4

---

> Which of these has the highest volume?

SrLiLa